(1)
The following is a PBE calculation of Ti2HgHPd after structural relaxation, from the Alexandria database.

Summary:
Crystal system   tetragonal
Raw total energy   -5.20 eV/atom
E above lowest polymorph   0.000 eV/f.u.

Cell and atoms, written as CIF:
```
data_Ti2HgHPd
_chemical_formula_sum 'Ti2 Hg1 H1 Pd1'
_symmetry_space_group_name_H-M 'P 4/m m m'
_symmetry_Int_Tables_number 123
_symmetry_space_group_name_Hall '-P 4 2'
_cell_length_a 4.1341
_cell_length_b 4.1341
_cell_length_c 4.0926
_cell_angle_alpha 90.00
_cell_angle_beta 90.00
_cell_angle_gamma 90.00
loop_
_atom_site_label
_atom_site_type_symbol
_atom_site_fract_x
_atom_site_fract_y
_atom_site_fract_z
Ti1 Ti 0.0000 0.5000 0.0000
Hg1 Hg 0.0000 0.0000 0.5000
H1 H 0.5000 0.5000 0.0000
Pd1 Pd 0.5000 0.5000 0.5000
```

---

(2)
The following is a PBE calculation of Y4Er5Pu after structural relaxation, from the Alexandria database.

Summary:
Calculated formation energy   0.253 eV per atom
Crystal system   tetragonal
Raw total energy   -6.05 eV/atom

Cell and atoms, written as CIF:
```
data_Y4Er5Pu
_chemical_formula_sum 'Y8 Er10 Pu2'
_symmetry_space_group_name_H-M 'I 4 m m'
_symmetry_Int_Tables_number 107
_symmetry_space_group_name_Hall 'I 4 -2'
_cell_length_a 10.8143
_cell_length_b 10.8143
_cell_length_c 5.3974
_cell_angle_alpha 90.00
_cell_angle_beta 90.00
_cell_angle_gamma 90.00
loop_
_atom_site_label
_atom_site_type_symbol
_atom_site_fract_x
_atom_site_fract_y
_atom_site_fract_z
Y1 Y 0.0000 0.3229 0.0000
Er1 Er 0.0000 0.0000 0.9924
Er2 Er 0.1837 0.1837 0.4995
Pu1 Pu 0.0000 0.0000 0.4912
```

---

(3)
The following is a PBE calculation of Tb5GeS4 after structural relaxation, from the Alexandria database.

Summary:
Crystal system   tetragonal
Raw total energy   -6.26 eV/atom
Formation energy from raw total energies   -1765 kJ/mol of formula units

Cell and atoms, written as CIF:
```
data_Tb5GeS4
_chemical_formula_sum 'Tb10 Ge2 S8'
_symmetry_space_group_name_H-M 'I 4/m'
_symmetry_Int_Tables_number 87
_symmetry_space_group_name_Hall '-I 4'
_cell_length_a 8.9194
_cell_length_b 8.9194
_cell_length_c 5.6219
_cell_angle_alpha 90.00
_cell_angle_beta 90.00
_cell_angle_gamma 90.00
loop_
_atom_site_label
_atom_site_type_symbol
_atom_site_fract_x
_atom_site_fract_y
_atom_site_fract_z
Tb1 Tb 0.0000 0.0000 0.0000
Tb2 Tb 0.1001 0.6995 0.5000
Ge1 Ge 0.0000 0.0000 0.5000
S1 S 0.1009 0.6987 0.0000
```

---

(4)
The following is a PBE calculation of CsCd2H after structural relaxation, from the Alexandria database.

Summary:
Crystal system   tetragonal
Raw total energy   -1.28 eV/atom
E above lowest polymorph   0.000 eV/f.u.

Cell and atoms, written as CIF:
```
data_CsCd2H
_chemical_formula_sum 'Cs4 Cd8 H4'
_symmetry_space_group_name_H-M 'I 41/a m d'
_symmetry_Int_Tables_number 141
_cell_length_a 7.0453
_cell_length_b 7.0453
_cell_length_c 10.0147
_cell_angle_alpha 90.00
_cell_angle_beta 90.00
_cell_angle_gamma 90.00
loop_
_symmetry_equiv_pos_as_xyz
'x,y,z'
'-x,-y,-z'
'-y+1/4,x+3/4,z+1/4'
'y+1/4,-x+3/4,-z+1/4'
'-x+1/2,-y,z+1/2'
'x+1/2,y,-z+1/2'
'y+1/4,-x+1/4,z+3/4'
'-y+1/4,x+1/4,-z+3/4'
'x,-y,-z'
'-x,y,z'
'-y+1/4,-x+1/4,-z+3/4'
'y+1/4,x+1/4,z+3/4'
'-x+1/2,y,-z+1/2'
'x+1/2,-y,z+1/2'
'y+1/4,x+3/4,-z+1/4'
'-y+1/4,-x+3/4,z+1/4'
'x+1/2,y+1/2,z+1/2'
'-x+1/2,-y+1/2,-z+1/2'
'-y+3/4,x+1/4,z+3/4'
'y+3/4,-x+1/4,-z+3/4'
'-x,-y+1/2,z'
'x,y+1/2,-z'
'y+3/4,-x+3/4,z+1/4'
'-y+3/4,x+3/4,-z+1/4'
'x+1/2,-y+1/2,-z+1/2'
'-x+1/2,y+1/2,z+1/2'
'-y+3/4,-x+3/4,-z+1/4'
'y+3/4,x+3/4,z+1/4'
'-x,y+1/2,-z'
'x,-y+1/2,z'
'y+3/4,x+1/4,-z+3/4'
'-y+3/4,-x+1/4,z+3/4'
loop_
_atom_site_label
_atom_site_type_symbol
_atom_site_fract_x
_atom_site_fract_y
_atom_site_fract_z
Cs1 Cs 0.0000 0.2500 0.3750
Cd1 Cd 0.0000 0.0000 0.0000
H1 H 0.0000 0.2500 0.8750
```

---

(5)
The following is a PBE calculation of Mg4FeOs after structural relaxation, from the Alexandria database.

Summary:
Calculated formation energy   0.678 eV per atom
Crystal system   cubic
Raw total energy   -3.67 eV/atom

Cell and atoms, written as CIF:
```
data_Mg4FeOs
_chemical_formula_sum 'Mg16 Fe4 Os4'
_symmetry_space_group_name_H-M 'F -4 3 m'
_symmetry_Int_Tables_number 216
_symmetry_space_group_name_Hall 'F -4 2 3'
_cell_length_a 7.4709
_cell_length_b 7.4709
_cell_length_c 7.4709
_cell_angle_alpha 90.00
_cell_angle_beta 90.00
_cell_angle_gamma 90.00
loop_
_atom_site_label
_atom_site_type_symbol
_atom_site_fract_x
_atom_site_fract_y
_atom_site_fract_z
Mg1 Mg 0.1247 0.1247 0.1247
Fe1 Fe 0.0000 0.0000 0.5000
Os1 Os 0.2500 0.2500 0.7500
```

---

(6)
The following is a PBE calculation of Pr5ZnSi2 after structural relaxation, from the Alexandria database.

Summary:
Crystal system   tetragonal
Raw total energy   -4.94 eV/atom
Formation energy from raw total energies   -339 kJ/mol of formula units

Cell and atoms, written as CIF:
```
data_Pr5ZnSi2
_chemical_formula_sum 'Pr20 Zn4 Si8'
_symmetry_space_group_name_H-M 'I 4/m c m'
_symmetry_Int_Tables_number 140
_symmetry_space_group_name_Hall '-I 4 2c'
_cell_length_a 7.8045
_cell_length_b 7.8045
_cell_length_c 14.7634
_cell_angle_alpha 90.00
_cell_angle_beta 90.00
_cell_angle_gamma 90.00
loop_
_atom_site_label
_atom_site_type_symbol
_atom_site_fract_x
_atom_site_fract_y
_atom_site_fract_z
Pr1 Pr 0.0000 0.0000 0.0000
Pr2 Pr 0.1780 0.3220 0.1422
Zn1 Zn 0.0000 0.0000 0.2500
Si1 Si 0.1132 0.3868 0.5000
```

---

(7)
The following is a PBE calculation of Cs2RbNbAl after structural relaxation, from the Alexandria database.

Summary:
Calculated formation energy   0.889 eV per atom
Crystal system   tetragonal
Raw total energy   -2.41 eV/atom

Cell and atoms, written as CIF:
```
data_Cs2RbNbAl
_chemical_formula_sum 'Cs2 Rb1 Nb1 Al1'
_symmetry_space_group_name_H-M 'P 4/m m m'
_symmetry_Int_Tables_number 123
_symmetry_space_group_name_Hall '-P 4 2'
_cell_length_a 7.0974
_cell_length_b 7.0974
_cell_length_c 5.3927
_cell_angle_alpha 90.00
_cell_angle_beta 90.00
_cell_angle_gamma 90.00
loop_
_atom_site_label
_atom_site_type_symbol
_atom_site_fract_x
_atom_site_fract_y
_atom_site_fract_z
Cs1 Cs 0.0000 0.5000 0.0000
Rb1 Rb 0.0000 0.0000 0.5000
Nb1 Nb 0.5000 0.5000 0.0000
Al1 Al 0.5000 0.5000 0.5000
```

---

(8)
The following is a PBE calculation of Ho5GaAu4 after structural relaxation, from the Alexandria database.

Summary:
Calculated formation energy   -0.813 eV per atom
Crystal system   tetragonal
Raw total energy   -4.72 eV/atom

Cell and atoms, written as CIF:
```
data_Ho5GaAu4
_chemical_formula_sum 'Ho5 Ga1 Au4'
_symmetry_space_group_name_H-M 'P 4/m m m'
_symmetry_Int_Tables_number 123
_symmetry_space_group_name_Hall '-P 4 2'
_cell_length_a 3.5650
_cell_length_b 3.5650
_cell_length_c 18.0480
_cell_angle_alpha 90.00
_cell_angle_beta 90.00
_cell_angle_gamma 90.00
loop_
_atom_site_label
_atom_site_type_symbol
_atom_site_fract_x
_atom_site_fract_y
_atom_site_fract_z
Ho1 Ho 0.0000 0.0000 0.0000
Ho2 Ho 0.0000 0.0000 0.2008
Ho3 Ho 0.0000 0.0000 0.4003
Ga1 Ga 0.5000 0.5000 0.5000
Au1 Au 0.5000 0.5000 0.0994
Au2 Au 0.5000 0.5000 0.3022
```

---

(9)
The following is a PBE calculation of In2TePb after structural relaxation, from the Alexandria database.

Summary:
Crystal system   cubic
Raw total energy   -3.08 eV/atom
Formation energy from raw total energies   0 kJ/mol of formula units
E above lowest polymorph   0.340 eV/f.u.

Cell and atoms, written as CIF:
```
data_In2TePb
_chemical_formula_sum 'In8 Te4 Pb4'
_symmetry_space_group_name_H-M 'F -4 3 m'
_symmetry_Int_Tables_number 216
_symmetry_space_group_name_Hall 'F -4 2 3'
_cell_length_a 7.8085
_cell_length_b 7.8085
_cell_length_c 7.8085
_cell_angle_alpha 90.00
_cell_angle_beta 90.00
_cell_angle_gamma 90.00
loop_
_atom_site_label
_atom_site_type_symbol
_atom_site_fract_x
_atom_site_fract_y
_atom_site_fract_z
In1 In 0.0000 0.0000 0.0000
In2 In 0.2500 0.2500 0.2500
Te1 Te 0.0000 0.0000 0.5000
Pb1 Pb 0.2500 0.2500 0.7500
```

---

(10)
The following is a PBE calculation of NbGeSb after structural relaxation, from the Alexandria database.

Summary:
Crystal system   cubic
Raw total energy   -5.88 eV/atom
Formation energy from raw total energies   114 kJ/mol of formula units

Cell and atoms, written as CIF:
```
data_NbGeSb
_chemical_formula_sum 'Nb4 Ge4 Sb4'
_symmetry_space_group_name_H-M 'P 21 3'
_symmetry_Int_Tables_number 198
_symmetry_space_group_name_Hall 'P 2ac 2ab 3'
_cell_length_a 6.5390
_cell_length_b 6.5390
_cell_length_c 6.5390
_cell_angle_alpha 90.00
_cell_angle_beta 90.00
_cell_angle_gamma 90.00
loop_
_atom_site_label
_atom_site_type_symbol
_atom_site_fract_x
_atom_site_fract_y
_atom_site_fract_z
Nb1 Nb 0.0519 0.0519 0.0519
Ge1 Ge 0.0643 0.9357 0.4357
Sb1 Sb 0.1766 0.6766 0.8234
```

---

(11)
The following is a PBE calculation of Cs2GeCl3 after structural relaxation, from the Alexandria database.

Summary:
Crystal system   orthorhombic
Raw total energy   -3.31 eV/atom
Formation energy from raw total energies   -773 kJ/mol of formula units

Cell and atoms, written as CIF:
```
data_Cs2GeCl3
_chemical_formula_sum 'Cs4 Ge2 Cl6'
_symmetry_space_group_name_H-M 'I m m m'
_symmetry_Int_Tables_number 71
_symmetry_space_group_name_Hall '-I 2 2'
_cell_length_a 4.5936
_cell_length_b 5.4264
_cell_length_c 17.8196
_cell_angle_alpha 90.00
_cell_angle_beta 90.00
_cell_angle_gamma 90.00
loop_
_atom_site_label
_atom_site_type_symbol
_atom_site_fract_x
_atom_site_fract_y
_atom_site_fract_z
Cs1 Cs 0.0000 0.0000 0.1456
Ge1 Ge 0.0000 0.0000 0.5000
Cl1 Cl 0.0000 0.0000 0.3465
Cl2 Cl 0.0000 0.5000 0.5000
```

---

(12)
The following is a PBE calculation of MgAsI2O after structural relaxation, from the Alexandria database.

Summary:
Crystal system   tetragonal
Raw total energy   -3.13 eV/atom
Formation energy from raw total energies   -128 kJ/mol of formula units
E above lowest polymorph   0.000 eV/f.u.

Cell and atoms, written as CIF:
```
data_MgAsI2O
_chemical_formula_sum 'Mg1 As1 I2 O1'
_symmetry_space_group_name_H-M 'P 4/m m m'
_symmetry_Int_Tables_number 123
_symmetry_space_group_name_Hall '-P 4 2'
_cell_length_a 5.9087
_cell_length_b 5.9087
_cell_length_c 3.8406
_cell_angle_alpha 90.00
_cell_angle_beta 90.00
_cell_angle_gamma 90.00
loop_
_atom_site_label
_atom_site_type_symbol
_atom_site_fract_x
_atom_site_fract_y
_atom_site_fract_z
Mg1 Mg 0.0000 0.0000 0.0000
As1 As 0.5000 0.5000 0.5000
I1 I 0.0000 0.5000 0.5000
O1 O 0.5000 0.5000 0.0000
```